Computed, not measured: an optimized crystal structure of NaNiHg at the PBE-GGA level of DFT.

```
3
Lattice="3.9752 -1.6470 1.3266 1.0046 -0.1986 4.3847 0.2029 -3.9858 2.0849" Properties=species:S:1:pos:R:3 pbc="T T T"
Na 0.0000 0.0000 0.0000
Ni 3.8871 -4.3735 5.8472
Hg 1.2957 -1.4578 1.9491
```

Output
- Size of the total moment: 0.266 μB/f.u.
- Energy: -1.72 eV per atom
- Energy above the lowest structure with this stoichiometry: 395 meV per atom
- Space group: F-43m, No. 216